[1]
This record from Alexandria via LeMat-Bulk describes a geometry-optimized PrEr2Tm3 structure. The functional is PBE.

The calculation puts the uncorrected energy at -54.6 eV for the cell shown. As for the mass density: 8.739 Mg/m³.

The structure belongs to space group P-1 (No. 2); the cell edges are 7.101, 7.109 and 8.768 Å and the angles 78.23°, 78.27° and 60.20°. Symmetry generates all atoms from Pr at (0.250, 0.250, 0.001), Er at (0.139, 0.139, 0.664), Er at (0.360, 0.860, 0.337), Tm at (0.140, 0.639, 0.663), Tm at (0.250, 0.750, 0.000) and Tm at (0.361, 0.362, 0.336).



[2]
This record from Alexandria via LeMat-Bulk describes a geometry-optimized SnSbH2 structure. The functional is PBE.

The calculation puts the uncorrected energy at -28.8 eV for the cell shown. As for the mass density: 3.960 Mg/m³.

The structure belongs to space group P2_1/m (No. 11); the cell edges are 5.581, 3.912 and 9.658 Å and the angles 90.00°, 105.35° and 90.00°. Symmetry generates all atoms from Sn at (0.111, 0.250, 0.153), Sb at (0.317, 0.250, 0.898), H at (0.283, 0.250, 0.484) and H at (0.291, 0.250, 0.564).



[3]
This record from Alexandria via LeMat-Bulk describes a geometry-optimized LiRuPb2 structure. The functional is PBE.

The calculation puts the uncorrected energy at -36.0 eV for the cell shown. As for the mass density: 10.756 Mg/m³.

The structure belongs to space group Amm2 (No. 38); the cell edges are 4.526, 3.429 and 10.392 Å and the angles 90.00°, 90.00° and 90.00°. Symmetry generates all atoms from Li at (0.000, 0.000, 0.000), Ru at (0.500, 0.000, 0.859), Pb at (0.000, 0.000, 0.278) and Pb at (0.500, 0.000, 0.576).



[4]
This record from Alexandria via LeMat-Bulk describes a geometry-optimized DyHo2Th3Se6 structure. The functional is PBE.

The calculation puts the uncorrected formation energy at -1.630 eV per atom. The calculation puts the uncorrected energy at -153.0 eV for the cell shown. As for the mass density: 9.215 Mg/m³.

The structure belongs to space group C2/m (No. 12); the cell edges are 6.936, 11.954 and 7.580 Å and the angles 90.00°, 107.61° and 90.00°. Symmetry generates all atoms from Dy at (0.000, 0.000, 0.000), Ho at (0.000, 0.333, 0.000), Th at (0.000, 0.166, 0.500), Th at (0.000, 0.500, 0.500), Se at (0.243, 0.500, 0.231) and Se at (0.245, 0.167, 0.232).



[5]
This record from Alexandria via LeMat-Bulk describes a geometry-optimized Na2CoCl structure. The functional is PBE.

The calculation puts the uncorrected formation energy at 0.005 eV per atom. The calculation puts the uncorrected energy at -46.3 eV for the cell shown. As for the mass density: 2.070 Mg/m³.

The structure belongs to space group I-42d (No. 122); the cell edges are 7.558, 7.558 and 7.886 Å and the angles 90.00°, 90.00° and 90.00°. Symmetry generates all atoms from Na at (0.213, 0.250, 0.125), Co at (0.000, 0.000, 0.500) and Cl at (0.000, 0.000, 0.000).



[6]
This record from Alexandria via LeMat-Bulk describes a geometry-optimized KRuSe2 structure. The functional is PBE.

The calculation puts the uncorrected formation energy at -0.257 eV per atom. The calculation puts the uncorrected energy at -36.7 eV for the cell shown. As for the mass density: 5.482 Mg/m³.

The structure belongs to space group Imm2 (No. 44); the cell edges are 3.309, 3.502 and 15.584 Å and the angles 90.00°, 90.00° and 90.00°. Symmetry generates all atoms from K at (0.000, 0.000, 0.000), Ru at (0.000, 0.500, 0.746), Se at (0.000, 0.000, 0.637) and Se at (0.000, 0.500, 0.322).



[7]
This record from Alexandria via LeMat-Bulk describes a geometry-optimized Ta8Ge2C3 structure. The functional is PBE.

The calculation puts the uncorrected energy at -266.9 eV for the cell shown. As for the mass density: 12.686 Mg/m³.

The structure belongs to space group C2/m (No. 12); the cell edges are 12.924, 6.240 and 5.448 Å and the angles 90.00°, 103.93° and 90.00°. Symmetry generates all atoms from Ta at (0.096, 0.245, 0.393), Ta at (0.097, 0.000, 0.914), Ta at (0.097, 0.500, 0.886), Ge at (0.250, 0.000, 0.682), C at (0.000, 0.261, 0.000) and C at (0.000, 0.500, 0.500).



[8]
This record from Alexandria via LeMat-Bulk describes a geometry-optimized Ac3Pd8Au structure. The functional is PBE.

The calculation puts the uncorrected energy at -197.6 eV for the cell shown. As for the mass density: 11.543 Mg/m³.

The structure belongs to space group R3m (No. 160, hexagonal axes); the cell edges are 5.5945, 5.5945 and 27.5360 Å and the angles 90.00°, 90.00° and 120.00°. Symmetry generates all atoms from Ac at (0.0000, 0.0000, 0.0000), Ac at (0.0000, 0.0000, 0.1319), Ac at (0.0000, 0.0000, 0.5255), Pd at (0.0000, 0.0000, 0.3220), Pd at (0.0000, 0.0000, 0.8224), Pd at (0.0002, 0.5001, 0.0726), Pd at (0.1688, 0.3377, 0.9050) and Au at (0.0000, 0.0000, 0.6456).



[9]
This record from Alexandria via LeMat-Bulk describes a geometry-optimized ZnInSCl2 structure. The functional is PBE.

The calculation puts the uncorrected formation energy at -0.459 eV per atom. The calculation puts the uncorrected energy at -14.1 eV for the cell shown. As for the mass density: 4.054 Mg/m³.

The structure belongs to space group P4/mmm (No. 123); the cell edges are 4.770, 4.770 and 5.099 Å and the angles 90.00°, 90.00° and 90.00°. Symmetry generates all atoms from Zn at (0.000, 0.000, 0.000), In at (0.500, 0.500, 0.500), S at (0.000, 0.000, 0.500) and Cl at (0.000, 0.500, 0.000).



[10]
This record from Alexandria via LeMat-Bulk describes a geometry-optimized NaMg3Ni structure. The functional is PBE.

The calculation puts the uncorrected energy at -11.7 eV for the cell shown. As for the mass density: 2.143 Mg/m³.

The structure belongs to space group Pm-3m (No. 221); the cell edges are 4.930, 4.930 and 4.930 Å and the angles 90.00°, 90.00° and 90.00°. Symmetry generates all atoms from Na at (0.000, 0.000, 0.000), Mg at (0.000, 0.500, 0.500) and Ni at (0.500, 0.500, 0.500).



[11]
This record from Alexandria via LeMat-Bulk describes a geometry-optimized Mg3TaIn structure. The functional is PBE.

The calculation puts the uncorrected energy at -13.5 eV for the cell shown. As for the mass density: 3.709 Mg/m³.

The structure belongs to space group Pm-3m (No. 221); the cell edges are 5.485, 5.485 and 5.485 Å and the angles 90.00°, 90.00° and 90.00°. Symmetry generates all atoms from Mg at (0.000, 0.000, 0.500), Ta at (0.000, 0.000, 0.000) and In at (0.500, 0.500, 0.500).



[12]
This record from Alexandria via LeMat-Bulk describes a geometry-optimized TePPt2 structure. The functional is PBE.

The calculation puts the uncorrected formation energy at -0.305 eV per atom. The calculation puts the uncorrected energy at -65.6 eV for the cell shown. As for the mass density: 11.158 Mg/m³.

The structure belongs to space group R3m (No. 160, hexagonal axes); the cell edges are 3.8162, 3.8162 and 19.4253 Å and the angles 90.00°, 90.00° and 120.00°. Symmetry generates all atoms from Te at (0.0000, 0.0000, 0.0000), P at (0.0000, 0.0000, 0.8026), Pt at (0.0000, 0.0000, 0.2601) and Pt at (0.0000, 0.0000, 0.5073).



[13]
This record from Alexandria via LeMat-Bulk describes a geometry-optimized ScSn2Au structure. The functional is PBE.

The calculation puts the uncorrected energy at -19.4 eV for the cell shown. As for the mass density: 9.138 Mg/m³.

The structure belongs to space group P4/mmm (No. 123); the cell edges are 4.570, 4.570 and 4.171 Å and the angles 90.00°, 90.00° and 90.00°. Symmetry generates all atoms from Sc at (0.000, 0.000, 0.000), Sn at (0.000, 0.500, 0.500) and Au at (0.500, 0.500, 0.000).



[14]
This record from Alexandria via LeMat-Bulk describes a geometry-optimized Ce12CoOs6 structure. The functional is PBE.

The calculation puts the uncorrected energy at -442.0 eV for the cell shown. As for the mass density: 9.484 Mg/m³.

The structure belongs to space group R-3 (No. 148, hexagonal axes); the cell edges are 12.2647, 12.2647 and 11.6200 Å and the angles 90.00°, 90.00° and 120.00°. Symmetry generates all atoms from Ce at (0.0239, 0.2096, 0.3918), Ce at (0.0362, 0.2016, 0.8834), Co at (0.0000, 0.0000, 0.0000) and Os at (0.0481, 0.2668, 0.6525).



[15]
This record from Alexandria via LeMat-Bulk describes a geometry-optimized BaNa2InBi structure. The functional is PBE.

The calculation puts the uncorrected energy at -8.6 eV for the cell shown. As for the mass density: 2.953 Mg/m³.

The structure belongs to space group P4/mmm (No. 123); the cell edges are 6.696, 6.696 and 6.360 Å and the angles 90.00°, 90.00° and 90.00°. Symmetry generates all atoms from Ba at (0.000, 0.000, 0.000), Na at (0.000, 0.500, 0.000), In at (0.500, 0.500, 0.500) and Bi at (0.000, 0.000, 0.500).



[16]
This record from Alexandria via LeMat-Bulk describes a geometry-optimized Pm2Sm2Tm15 structure. The functional is PBE.

The calculation puts the uncorrected energy at -241.9 eV for the cell shown. As for the mass density: 8.338 Mg/m³.

The structure belongs to space group R-3m (No. 166, hexagonal axes); the cell edges are 11.1745, 11.1745 and 17.2635 Å and the angles 90.00°, 90.00° and 120.00°. Symmetry generates all atoms from Pm at (0.0000, 0.0000, 0.1174), Sm at (0.0000, 0.0000, 0.3336), Tm at (0.0000, 0.3039, 0.0000), Tm at (0.0000, 0.5000, 0.5000) and Tm at (0.0107, 0.5053, 0.1414).



[17]
This record from Alexandria via LeMat-Bulk describes a geometry-optimized SmEuSnPd structure. The functional is PBE.

The calculation puts the uncorrected energy at -107.2 eV for the cell shown. As for the mass density: 8.271 Mg/m³.

The structure belongs to space group F-43m (No. 216); the cell edges are 7.510, 7.510 and 7.510 Å and the angles 90.00°, 90.00° and 90.00°. Symmetry generates all atoms from Sm at (0.000, 0.000, 0.000), Eu at (0.000, 0.000, 0.500), Sn at (0.250, 0.250, 0.750) and Pd at (0.250, 0.250, 0.250).



[18]
This record from Alexandria via LeMat-Bulk describes a geometry-optimized ZnP2Os structure. The functional is PBE.

The calculation puts the uncorrected energy at -43.3 eV for the cell shown. As for the mass density: 8.176 Mg/m³.

The structure belongs to space group Cmm2 (No. 35); the cell edges are 2.844, 4.750 and 9.548 Å and the angles 90.00°, 90.00° and 90.00°. Symmetry generates all atoms from Zn at (0.000, 0.000, 0.000), P at (0.000, 0.000, 0.434), P at (0.000, 0.500, 0.774) and Os at (0.000, 0.500, 0.239).



[19]
This record from Alexandria via LeMat-Bulk describes a geometry-optimized CdAsRh2 structure. The functional is PBE.

The calculation puts the uncorrected energy at -41.6 eV for the cell shown. As for the mass density: 9.914 Mg/m³.

The structure belongs to space group Cm (No. 8); the cell edges are 9.584, 3.067 and 4.665 Å and the angles 90.00°, 106.14° and 90.00°. Symmetry generates all atoms from Cd at (0.000, 0.000, 0.000), As at (0.249, 0.000, 0.585), Rh at (0.032, 0.500, 0.525) and Rh at (0.254, 0.500, 0.170).



[20]
This record from Alexandria via LeMat-Bulk describes a geometry-optimized Ti3Se4Cl2 structure. The functional is PBE.

The calculation puts the uncorrected formation energy at -1.155 eV per atom. The calculation puts the uncorrected energy at -51.7 eV for the cell shown. As for the mass density: 4.056 Mg/m³.

The structure belongs to space group P3m1 (No. 156); the cell edges are 3.4317, 3.4317 and 21.2872 Å and the angles 90.00°, 90.00° and 120.00°. Symmetry generates all atoms from Ti at (0.0000, 0.0000, 0.0000), Ti at (0.0000, 0.0000, 0.3442), Ti at (0.6667, 0.3333, 0.6738), Se at (0.0000, 0.0000, 0.5973), Se at (0.0000, 0.0000, 0.7510), Se at (0.6667, 0.3333, 0.2671), Se at (0.6667, 0.3333, 0.4208), Cl at (0.6667, 0.3333, 0.0722) and Cl at (0.6667, 0.3333, 0.9279).